# Mg2TlRh (GGA-PBE, optimized geometry)
# energy of formation = -0.32 eV per atom
# total magnetization = 0.00 μB/f.u.
# crystal system = tetragonal
# energy = -14.20 eV per formula unit
data_Mg2TlRh
_symmetry_space_group_name_H-M 'P 4/m m m'
_symmetry_Int_Tables_number 123
_symmetry_space_group_name_Hall '-P 4 2'
_cell_length_a 3.209
_cell_length_b 3.209
_cell_length_c 7.685
_cell_angle_alpha 90.00
_cell_angle_beta 90.00
_cell_angle_gamma 90.00
loop_
_atom_site_label
_atom_site_type_symbol
_atom_site_fract_x
_atom_site_fract_y
_atom_site_fract_z
_atom_site_occupancy
Mg1 Mg 0.000 0.000 0.190 1
Tl1 Tl 0.500 0.500 0.500 1
Rh1 Rh 0.500 0.500 0.000 1

# Mg5TlRh (GGA-PBE, optimized geometry)
# energy of formation = -0.20 eV per atom
# total magnetization = 0.00 μB/f.u.
# crystal system = monoclinic
# energy = -19.10 eV per formula unit
data_Mg5TlRh
_symmetry_space_group_name_H-M 'C 1 2/c 1'
_symmetry_Int_Tables_number 15
_cell_length_a 6.480
_cell_length_b 6.464
_cell_length_c 14.067
_cell_angle_alpha 90.00
_cell_angle_beta 90.22
_cell_angle_gamma 90.00
loop_
_symmetry_equiv_pos_as_xyz
'x,y,z'
'-x,-y,-z'
'-x,y,-z+1/2'
'x,-y,z+1/2'
'x+1/2,y+1/2,z'
'-x+1/2,-y+1/2,-z'
'-x+1/2,y+1/2,-z+1/2'
'x+1/2,-y+1/2,z+1/2'
loop_
_atom_site_label
_atom_site_type_symbol
_atom_site_fract_x
_atom_site_fract_y
_atom_site_fract_z
_atom_site_occupancy
Mg1 Mg 0.000 0.001 0.250 1
Mg2 Mg 0.249 0.251 0.100 1
Mg3 Mg 0.250 0.250 0.400 1
Tl1 Tl 0.000 0.499 0.750 1
Rh1 Rh 0.000 0.000 0.000 1

# Mg8Tl2Rh (GGA-PBE, optimized geometry)
# energy of formation = -0.14 eV per atom
# total magnetization = 0.00 μB/f.u.
# crystal system = monoclinic
# energy = -26.36 eV per formula unit
data_Mg8Tl2Rh
_symmetry_space_group_name_H-M 'C 1 2/m 1'
_symmetry_Int_Tables_number 12
_cell_length_a 15.911
_cell_length_b 4.775
_cell_length_c 6.936
_cell_angle_alpha 90.00
_cell_angle_beta 114.32
_cell_angle_gamma 90.00
loop_
_symmetry_equiv_pos_as_xyz
'x,y,z'
'-x,-y,-z'
'-x,y,-z'
'x,-y,z'
'x+1/2,y+1/2,z'
'-x+1/2,-y+1/2,-z'
'-x+1/2,y+1/2,-z'
'x+1/2,-y+1/2,z'
loop_
_atom_site_label
_atom_site_type_symbol
_atom_site_fract_x
_atom_site_fract_y
_atom_site_fract_z
_atom_site_occupancy
Mg1 Mg 0.011 0.000 0.288 1
Mg2 Mg 0.112 0.500 0.902 1
Mg3 Mg 0.144 0.500 0.402 1
Mg4 Mg 0.177 0.000 0.713 1
Tl1 Tl 0.184 0.000 0.176 1
Rh1 Rh 0.000 0.500 0.500 1

# Mg4TlRh5 (GGA-PBE, optimized geometry)
# energy of formation = -0.37 eV per atom
# total magnetization = 0.00 μB/f.u.
# crystal system = tetragonal
# energy = -49.18 eV per formula unit
data_Mg4TlRh5
_symmetry_space_group_name_H-M 'P 4/m m m'
_symmetry_Int_Tables_number 123
_symmetry_space_group_name_Hall '-P 4 2'
_cell_length_a 3.170
_cell_length_b 3.170
_cell_length_c 15.709
_cell_angle_alpha 90.00
_cell_angle_beta 90.00
_cell_angle_gamma 90.00
loop_
_atom_site_label
_atom_site_type_symbol
_atom_site_fract_x
_atom_site_fract_y
_atom_site_fract_z
_atom_site_occupancy
Mg1 Mg 0.000 0.000 0.098 1
Mg2 Mg 0.000 0.000 0.292 1
Tl1 Tl 0.000 0.000 0.500 1
Rh1 Rh 0.500 0.500 0.000 1
Rh2 Rh 0.500 0.500 0.195 1
Rh3 Rh 0.500 0.500 0.391 1

# MgTl2Rh (GGA-PBE, optimized geometry)
# energy of formation = 0.06 eV per atom
# total magnetization = 0.00 μB/f.u.
# crystal system = tetragonal
# energy = -13.45 eV per formula unit
data_MgTl2Rh
_symmetry_space_group_name_H-M 'I -4 m 2'
_symmetry_Int_Tables_number 119
_symmetry_space_group_name_Hall 'I -4 -2'
_cell_length_a 4.275
_cell_length_b 4.275
_cell_length_c 8.975
_cell_angle_alpha 90.00
_cell_angle_beta 90.00
_cell_angle_gamma 90.00
loop_
_atom_site_label
_atom_site_type_symbol
_atom_site_fract_x
_atom_site_fract_y
_atom_site_fract_z
_atom_site_occupancy
Mg1 Mg 0.000 0.000 0.000 1
Tl1 Tl 0.000 0.000 0.500 1
Tl2 Tl 0.000 0.500 0.250 1
Rh1 Rh 0.000 0.500 0.750 1

# Mg2TlRh2 (GGA-PBE, optimized geometry)
# energy of formation = -0.17 eV per atom
# total magnetization = 0.00 μB/f.u.
# crystal system = tetragonal
# energy = -21.12 eV per formula unit
data_Mg2TlRh2
_symmetry_space_group_name_H-M 'P 4/m b m'
_symmetry_Int_Tables_number 127
_symmetry_space_group_name_Hall '-P 4 2ab'
_cell_length_a 7.492
_cell_length_b 7.492
_cell_length_c 3.076
_cell_angle_alpha 90.00
_cell_angle_beta 90.00
_cell_angle_gamma 90.00
loop_
_atom_site_label
_atom_site_type_symbol
_atom_site_fract_x
_atom_site_fract_y
_atom_site_fract_z
_atom_site_occupancy
Mg1 Mg 0.130 0.370 0.000 1
Tl1 Tl 0.000 0.000 0.000 1
Rh1 Rh 0.167 0.667 0.500 1

# TmMgTlRh (GGA-PBE, optimized geometry)
# energy of formation = -0.50 eV per atom
# total magnetization = 0.00 μB/f.u.
# crystal system = tetragonal
# energy = -17.77 eV per formula unit
data_TmMgTlRh
_symmetry_space_group_name_H-M 'P 4 m m'
_symmetry_Int_Tables_number 99
_cell_length_a 3.282
_cell_length_b 3.282
_cell_length_c 7.893
_cell_angle_alpha 90.00
_cell_angle_beta 90.00
_cell_angle_gamma 90.00
loop_
_symmetry_equiv_pos_as_xyz
'x,y,z'
'-y,x,z'
'-x,-y,z'
'y,-x,z'
'-x,y,z'
'y,x,z'
'x,-y,z'
'-y,-x,z'
loop_
_atom_site_label
_atom_site_type_symbol
_atom_site_fract_x
_atom_site_fract_y
_atom_site_fract_z
_atom_site_occupancy
Tm1 Tm 0.000 0.000 0.000 1
Mg1 Mg 0.000 0.000 0.597 1
Tl1 Tl 0.500 0.500 0.318 1
Rh1 Rh 0.500 0.500 0.792 1

# TmMgTlRh (GGA-PBE, optimized geometry)
# energy of formation = -0.37 eV per atom
# total magnetization = 0.00 μB/f.u.
# crystal system = cubic
# energy = -17.25 eV per formula unit
data_TmMgTlRh
_symmetry_space_group_name_H-M 'F -4 3 m'
_symmetry_Int_Tables_number 216
_symmetry_space_group_name_Hall 'F -4 2 3'
_cell_length_a 6.914
_cell_length_b 6.914
_cell_length_c 6.914
_cell_angle_alpha 90.00
_cell_angle_beta 90.00
_cell_angle_gamma 90.00
loop_
_atom_site_label
_atom_site_type_symbol
_atom_site_fract_x
_atom_site_fract_y
_atom_site_fract_z
_atom_site_occupancy
Tm1 Tm 0.000 0.000 0.000 1
Mg1 Mg 0.000 0.000 0.500 1
Tl1 Tl 0.250 0.250 0.250 1
Rh1 Rh 0.250 0.250 0.750 1

# YMgTlRh (GGA-PBE, optimized geometry)
# energy of formation = -0.36 eV per atom
# total magnetization = 0.00 μB/f.u.
# crystal system = cubic
# energy = -19.21 eV per formula unit
data_YMgTlRh
_symmetry_space_group_name_H-M 'F -4 3 m'
_symmetry_Int_Tables_number 216
_symmetry_space_group_name_Hall 'F -4 2 3'
_cell_length_a 6.980
_cell_length_b 6.980
_cell_length_c 6.980
_cell_angle_alpha 90.00
_cell_angle_beta 90.00
_cell_angle_gamma 90.00
loop_
_atom_site_label
_atom_site_type_symbol
_atom_site_fract_x
_atom_site_fract_y
_atom_site_fract_z
_atom_site_occupancy
Y1 Y 0.000 0.000 0.000 1
Mg1 Mg 0.000 0.000 0.500 1
Tl1 Tl 0.250 0.250 0.250 1
Rh1 Rh 0.250 0.250 0.750 1

# YMg2TlRh (GGA-PBE, optimized geometry)
# energy of formation = -0.23 eV per atom
# total magnetization = 0.00 μB/f.u.
# crystal system = tetragonal
# energy = -20.51 eV per formula unit
data_YMg2TlRh
_symmetry_space_group_name_H-M 'P 4/m m m'
_symmetry_Int_Tables_number 123
_symmetry_space_group_name_Hall '-P 4 2'
_cell_length_a 5.033
_cell_length_b 5.033
_cell_length_c 5.224
_cell_angle_alpha 90.00
_cell_angle_beta 90.00
_cell_angle_gamma 90.00
loop_
_atom_site_label
_atom_site_type_symbol
_atom_site_fract_x
_atom_site_fract_y
_atom_site_fract_z
_atom_site_occupancy
Y1 Y 0.000 0.000 0.000 1
Mg1 Mg 0.000 0.500 0.500 1
Tl1 Tl 0.500 0.500 0.000 1
Rh1 Rh 0.000 0.000 0.500 1

# Tm6Mg2Rh (GGA-PBE, optimized geometry)
# energy of formation = 0.01 eV per atom
# total magnetization = 0.00 μB/f.u.
# crystal system = orthorhombic
# energy = -37.24 eV per formula unit
data_Tm6Mg2Rh
_symmetry_space_group_name_H-M 'I m m m'
_symmetry_Int_Tables_number 71
_symmetry_space_group_name_Hall '-I 2 2'
_cell_length_a 5.484
_cell_length_b 8.461
_cell_length_c 10.894
_cell_angle_alpha 90.00
_cell_angle_beta 90.00
_cell_angle_gamma 90.00
loop_
_atom_site_label
_atom_site_type_symbol
_atom_site_fract_x
_atom_site_fract_y
_atom_site_fract_z
_atom_site_occupancy
Tm1 Tm 0.000 0.179 0.000 1
Tm2 Tm 0.000 0.228 0.344 1
Mg1 Mg 0.000 0.500 0.142 1
Rh1 Rh 0.000 0.500 0.500 1

# TmMg4Rh5 (GGA-PBE, optimized geometry)
# energy of formation = -0.58 eV per atom
# total magnetization = 0.00 μB/f.u.
# crystal system = tetragonal
# energy = -53.39 eV per formula unit
data_TmMg4Rh5
_symmetry_space_group_name_H-M 'P 4/m m m'
_symmetry_Int_Tables_number 123
_symmetry_space_group_name_Hall '-P 4 2'
_cell_length_a 3.201
_cell_length_b 3.201
_cell_length_c 15.639
_cell_angle_alpha 90.00
_cell_angle_beta 90.00
_cell_angle_gamma 90.00
loop_
_atom_site_label
_atom_site_type_symbol
_atom_site_fract_x
_atom_site_fract_y
_atom_site_fract_z
_atom_site_occupancy
Tm1 Tm 0.000 0.000 0.000 1
Mg1 Mg 0.000 0.000 0.211 1
Mg2 Mg 0.000 0.000 0.403 1
Rh1 Rh 0.500 0.500 0.109 1
Rh2 Rh 0.500 0.500 0.305 1
Rh3 Rh 0.500 0.500 0.500 1

Question: total magnetization of number 5 (MgTl2Rh)?
Answer: 0.00 μB/f.u.

Question: energy of formation of number 9 (YMgTlRh)?
Answer: -0.36 eV per atom